[1]
Sm2Ho3Er5 after structural relaxation, computed with GGA-PBE.

The energy of formation from the pure elements is 0.20 eV per atom. The calculated density is 8.41 Mg/m³.

Cell lengths 9.411, 9.364, 11.050 Å; angles 125.45, 125.55, 68.46 degrees
Fractional positions:
Ho  0.722  0.487  0.258
Ho  0.964  0.229  0.742
Ho  0.278  0.513  0.742
Ho  0.036  0.771  0.258
Ho  0.227  0.977  0.954
Ho  0.773  0.023  0.046
Sm  0.515  0.279  0.247
Sm  0.768  0.031  0.753
Sm  0.485  0.721  0.753
Sm  0.232  0.969  0.247
Er  0.649  0.894  0.263
Er  0.028  0.778  0.556
Er  0.972  0.222  0.444
Er  0.477  0.727  0.455
Er  0.523  0.273  0.545
Er  0.731  0.481  0.963
Er  0.886  0.631  0.737
Er  0.351  0.106  0.737
Er  0.269  0.519  0.037
Er  0.114  0.369  0.263


[2]
Mg2CuSe2 after structural relaxation, computed with GGA-PBE.

The uncorrected formation energy comes out at -2.879 eV per formula unit. The calculated density is 3.73 Mg/m³.

Cell lengths 5.723, 5.723, 5.723 Å; angles 127.74, 122.64, 81.29 degrees
Fractional positions:
Se  0.271  0.271  0.000
Se  0.729  0.729  0.000
Mg  0.823  0.323  0.500
Mg  0.177  0.677  0.500
Cu  0.000  0.000  0.000


[3]
CuRe2Os after structural relaxation, computed with GGA-PBE.

The energy of formation from the pure elements is 0.52 eV per atom. The calculated density is 18.09 Mg/m³.

Cell lengths 4.332, 4.332, 4.332 Å; angles 60.00, 60.00, 60.00 degrees
Fractional positions:
Os  0.500  0.500  0.500
Re  0.750  0.750  0.750
Re  0.250  0.250  0.250
Cu  0.000  0.000  0.000